First-principles (PBE) data for crystalline Be3VSb at its relaxed geometry, as listed in Alexandria via LeMat-Bulk.

CIF file:
```
data_Be3VSb
_chemical_formula_sum 'Be3 V1 Sb1'
_space_group_name_H-M_alt 'P 1'
_space_group_IT_number 1
_cell_length_a 4.5616
_cell_length_b 4.5616
_cell_length_c 4.5616
_cell_angle_alpha 90.00
_cell_angle_beta 90.00
_cell_angle_gamma 90.00
loop_
_space_group_symop_operation_xyz
'x,y,z'
loop_
_atom_site_label
_atom_site_type_symbol
_atom_site_fract_x
_atom_site_fract_y
_atom_site_fract_z
Sb1 Sb 0.0000 0.0000 0.0000
V1 V 0.5000 0.5000 0.5000
Be1 Be 0.0000 0.5000 0.0000
Be2 Be 0.0000 0.0000 0.5000
Be3 Be 0.5000 0.0000 0.0000
```

Magnetic moment: 3.00 μB/cell
Electronic total energy: -3.32 eV/atom
ρ: 3.494 Mg/m³
Offset from the most stable computed form: 300 meV per atom
Formation energy without anion corrections: 1567 meV per atom